# 1
6
Lattice="1.469 0.848 16.531 -1.469 0.848 16.531 0.000 -1.696 16.531" Properties=species:S:1:pos:R:3 comment="PBE LiZrNb, optimized geometry" delta_e_f_ev_per_fu=1.0 volume_a3_per_atom=20.6 pbc="T T T"
Li 0.000 0.000 6.911
Li 0.000 0.000 42.681
Zr 0.000 0.000 12.338
Zr 0.000 0.000 37.254
Nb 0.000 0.000 15.253
Nb 0.000 0.000 34.339


# 2
12
Lattice="2.128 -6.381 0.000 2.128 6.381 0.000 0.000 0.000 6.009" Properties=species:S:1:pos:R:3 comment="PBE Al5GeRu6, optimized geometry" delta_e_f_ev_per_fu=-7.5 volume_a3_per_atom=13.6 pbc="T T T"
Al 0.000 0.000 0.000
Al 2.128 2.188 3.004
Al 2.128 2.129 0.000
Al 2.128 -2.129 0.000
Al 2.128 -2.188 3.004
Ge 0.000 0.000 3.004
Ru 2.128 4.281 1.504
Ru 2.128 4.281 4.505
Ru 2.128 0.000 1.534
Ru 2.128 0.000 4.475
Ru 2.128 -4.281 1.504
Ru 2.128 -4.281 4.505


no.,magnetization (μB per cell)
1,0.0
2,0.0